NaAg4Au8 | PBE | relaxed

The structure belongs to space group F-43m (No. 216); the cell edges are 10.566, 10.566 and 10.566 Å and the angles 90.00°, 90.00° and 90.00°. The inequivalent atoms are Na at (0.000, 0.000, 0.000), Ag at (0.097, 0.097, 0.403), Au at (0.152, 0.152, 0.152) and Au at (0.157, 0.157, 0.657).

Its density of states at the Fermi level is 0.3894 states/eV/atom. The calculation puts the energy of formation from the pure elements at 0.25 eV/atom.